DFT (GGA-PBE) results for crystalline CePaP2Rh5 at its relaxed geometry.

The structure in CIF format:
```
data_CePaP2Rh5
_space_group_name_H-M_alt 'P 4/m m m'
_space_group_IT_number 123
_space_group_name_Hall '-P 4 2'
_cell_length_a 4.0336
_cell_length_b 4.0336
_cell_length_c 10.6935
_cell_angle_alpha 90.00
_cell_angle_beta 90.00
_cell_angle_gamma 90.00
loop_
_atom_site_label
_atom_site_type_symbol
_atom_site_fract_x
_atom_site_fract_y
_atom_site_fract_z
Ce1 Ce 0.0000 0.0000 0.0000
Pa1 Pa 0.0000 0.0000 0.5000
P1 P 0.5000 0.5000 0.2133
Rh1 Rh 0.0000 0.5000 0.3172
Rh2 Rh 0.5000 0.5000 0.0000
```

Output
E_form = -0.844 eV/atom